Version 1
KSb2W after structural relaxation. Source: Alexandria via LeMat-Bulk, functional PBE.

## Properties
The value obtained for the volume is 28.4 Å³ per atom. For the density, the calculation gives 6.82 g/cm³.

CIF file:
```
data_KSb2W
_chemical_formula_sum 'K1 Sb2 W1'
_cell_length_a 3.706
_cell_length_b 3.706
_cell_length_c 8.274
_cell_angle_alpha 90.00
_cell_angle_beta 90.00
_cell_angle_gamma 90.00
_symmetry_space_group_name_H-M 'P 4 m m'
_symmetry_Int_Tables_number 99
loop_
_symmetry_equiv_pos_as_xyz
'x,y,z'
'-y,x,z'
'-x,-y,z'
'y,-x,z'
'-x,y,z'
'y,x,z'
'x,-y,z'
'-y,-x,z'
loop_
_atom_site_label
_atom_site_type_symbol
_atom_site_fract_x
_atom_site_fract_y
_atom_site_fract_z
K1 K 0.000 0.000 0.000
Sb1 Sb 0.000 0.000 0.562
Sb2 Sb 0.500 0.500 0.307
W1 W 0.500 0.500 0.642
```



Version 2
KSb2W after structural relaxation. Source: Alexandria via LeMat-Bulk, functional PBE.

## Properties
The value obtained for the volume is 24.0 Å³ per atom. For the density, the calculation gives 8.08 g/cm³.

CIF file:
```
data_KSb2W
_chemical_formula_sum 'K2 Sb4 W2'
_cell_length_a 7.746
_cell_length_b 8.394
_cell_length_c 3.058
_cell_angle_alpha 90.00
_cell_angle_beta 105.31
_cell_angle_gamma 90.00
_symmetry_space_group_name_H-M 'C 1 2/m 1'
_symmetry_Int_Tables_number 12
loop_
_symmetry_equiv_pos_as_xyz
'x,y,z'
'-x,-y,-z'
'-x,y,-z'
'x,-y,z'
'x+1/2,y+1/2,z'
'-x+1/2,-y+1/2,-z'
'-x+1/2,y+1/2,-z'
'x+1/2,-y+1/2,z'
loop_
_atom_site_label
_atom_site_type_symbol
_atom_site_fract_x
_atom_site_fract_y
_atom_site_fract_z
K1 K 0.000 0.000 0.000
Sb1 Sb 0.250 0.250 0.500
W1 W 0.000 0.500 0.000
```



According to the calculations, the structures order from most to least stable as version 1, version 2.



Version 1
KSb2W after structural relaxation. Source: Alexandria via LeMat-Bulk, functional PBE.

## Properties
The value obtained for the volume is 24.9 Å³ per atom. For the density, the calculation gives 7.78 g/cm³.

CIF file:
```
data_KSb2W
_chemical_formula_sum 'K1 Sb2 W1'
_cell_length_a 3.364
_cell_length_b 3.389
_cell_length_c 8.737
_cell_angle_alpha 90.00
_cell_angle_beta 90.00
_cell_angle_gamma 90.00
_symmetry_space_group_name_H-M 'P m m m'
_symmetry_Int_Tables_number 47
loop_
_symmetry_equiv_pos_as_xyz
'x,y,z'
'-x,-y,-z'
'-x,-y,z'
'x,y,-z'
'x,-y,-z'
'-x,y,z'
'-x,y,-z'
'x,-y,z'
loop_
_atom_site_label
_atom_site_type_symbol
_atom_site_fract_x
_atom_site_fract_y
_atom_site_fract_z
K1 K 0.000 0.000 0.000
Sb1 Sb 0.500 0.500 0.312
W1 W 0.000 0.000 0.500
```



Version 2
KSb2W after structural relaxation. Source: Alexandria via LeMat-Bulk, functional PBE.

## Properties
The value obtained for the volume is 24.8 Å³ per atom. For the density, the calculation gives 7.81 g/cm³.

CIF file:
```
data_KSb2W
_chemical_formula_sum 'K2 Sb4 W2'
_cell_length_a 7.048
_cell_length_b 9.399
_cell_length_c 2.995
_cell_angle_alpha 90.00
_cell_angle_beta 90.00
_cell_angle_gamma 90.00
_symmetry_space_group_name_H-M 'C m m m'
_symmetry_Int_Tables_number 65
_symmetry_space_group_name_Hall '-C 2 2'
loop_
_atom_site_label
_atom_site_type_symbol
_atom_site_fract_x
_atom_site_fract_y
_atom_site_fract_z
K1 K 0.000 0.000 0.000
Sb1 Sb 0.250 0.250 0.500
W1 W 0.000 0.500 0.000
```



According to the calculations, the structures order from most to least stable as version 1, version 2.



Version 1
KSb2W after structural relaxation. Source: Alexandria via LeMat-Bulk, functional PBE.

## Properties
The value obtained for the volume is 28.0 Å³ per atom. For the density, the calculation gives 6.93 g/cm³.

CIF file:
```
data_KSb2W
_chemical_formula_sum 'K2 Sb4 W2'
_cell_length_a 3.468
_cell_length_b 3.666
_cell_length_c 17.591
_cell_angle_alpha 90.00
_cell_angle_beta 90.00
_cell_angle_gamma 90.00
_symmetry_space_group_name_H-M 'I m m 2'
_symmetry_Int_Tables_number 44
loop_
_symmetry_equiv_pos_as_xyz
'x,y,z'
'-x,-y,z'
'-x,y,z'
'x,-y,z'
'x+1/2,y+1/2,z+1/2'
'-x+1/2,-y+1/2,z+1/2'
'-x+1/2,y+1/2,z+1/2'
'x+1/2,-y+1/2,z+1/2'
loop_
_atom_site_label
_atom_site_type_symbol
_atom_site_fract_x
_atom_site_fract_y
_atom_site_fract_z
K1 K 0.000 0.000 0.000
Sb1 Sb 0.000 0.000 0.642
Sb2 Sb 0.000 0.500 0.831
W1 W 0.000 0.500 0.259
```



Version 2
KSb2W after structural relaxation. Source: Alexandria via LeMat-Bulk, functional PBE.

## Properties
The value obtained for the volume is 26.8 Å³ per atom. For the density, the calculation gives 7.23 g/cm³.

CIF file:
```
data_KSb2W
_chemical_formula_sum 'K3 Sb6 W3'
_cell_length_a 3.6303
_cell_length_b 3.6303
_cell_length_c 28.1543
_cell_angle_alpha 90.00
_cell_angle_beta 90.00
_cell_angle_gamma 120.00
_symmetry_space_group_name_H-M 'R -3 m'
_symmetry_Int_Tables_number 166
_symmetry_space_group_name_Hall '-R 3 2"'
loop_
_atom_site_label
_atom_site_type_symbol
_atom_site_fract_x
_atom_site_fract_y
_atom_site_fract_z
K1 K 0.0000 0.0000 0.0000
Sb1 Sb 0.0000 0.0000 0.2313
W1 W 0.0000 0.0000 0.5000
```



Version 3
KSb2W after structural relaxation. Source: Alexandria via LeMat-Bulk, functional PBE.

## Properties
The value obtained for the volume is 25.0 Å³ per atom. For the density, the calculation gives 7.76 g/cm³.

CIF file:
```
data_KSb2W
_chemical_formula_sum 'K4 Sb8 W4'
_cell_length_a 7.365
_cell_length_b 7.365
_cell_length_c 7.365
_cell_angle_alpha 90.00
_cell_angle_beta 90.00
_cell_angle_gamma 90.00
_symmetry_space_group_name_H-M 'F -4 3 m'
_symmetry_Int_Tables_number 216
_symmetry_space_group_name_Hall 'F -4 2 3'
loop_
_atom_site_label
_atom_site_type_symbol
_atom_site_fract_x
_atom_site_fract_y
_atom_site_fract_z
K1 K 0.000 0.000 0.000
Sb1 Sb 0.000 0.000 0.500
Sb2 Sb 0.250 0.250 0.250
W1 W 0.250 0.250 0.750
```



According to the calculations, the structures order from most to least stable as version 2, version 1, version 3.



Version 1
KSb2W after structural relaxation. Source: Alexandria via LeMat-Bulk, functional PBE.

## Properties
The value obtained for the volume is 44.2 Å³ per atom. For the density, the calculation gives 4.38 g/cm³.

CIF file:
```
data_KSb2W
_chemical_formula_sum 'K4 Sb8 W4'
_cell_length_a 6.827
_cell_length_b 6.827
_cell_length_c 15.183
_cell_angle_alpha 90.00
_cell_angle_beta 90.00
_cell_angle_gamma 90.00
_symmetry_space_group_name_H-M 'I -4 2 d'
_symmetry_Int_Tables_number 122
_symmetry_space_group_name_Hall 'I -4 2bw'
loop_
_atom_site_label
_atom_site_type_symbol
_atom_site_fract_x
_atom_site_fract_y
_atom_site_fract_z
K1 K 0.000 0.000 0.000
Sb1 Sb 0.002 0.750 0.625
W1 W 0.000 0.000 0.500
```



Version 2
KSb2W after structural relaxation. Source: Alexandria via LeMat-Bulk, functional PBE.

## Properties
The value obtained for the volume is 23.5 Å³ per atom. For the density, the calculation gives 8.25 g/cm³.

CIF file:
```
data_KSb2W
_chemical_formula_sum 'K4 Sb8 W4'
_cell_length_a 7.216
_cell_length_b 7.216
_cell_length_c 7.216
_cell_angle_alpha 90.00
_cell_angle_beta 90.00
_cell_angle_gamma 90.00
_symmetry_space_group_name_H-M 'F m -3 m'
_symmetry_Int_Tables_number 225
_symmetry_space_group_name_Hall '-F 4 2 3'
loop_
_atom_site_label
_atom_site_type_symbol
_atom_site_fract_x
_atom_site_fract_y
_atom_site_fract_z
K1 K 0.000 0.000 0.000
Sb1 Sb 0.250 0.250 0.250
W1 W 0.000 0.000 0.500
```



Version 3
KSb2W after structural relaxation. Source: Alexandria via LeMat-Bulk, functional PBE.

## Properties
The value obtained for the volume is 25.2 Å³ per atom. For the density, the calculation gives 7.69 g/cm³.

CIF file:
```
data_KSb2W
_chemical_formula_sum 'K1 Sb2 W1'
_cell_length_a 4.896
_cell_length_b 4.896
_cell_length_c 4.199
_cell_angle_alpha 90.00
_cell_angle_beta 90.00
_cell_angle_gamma 90.00
_symmetry_space_group_name_H-M 'P 4/m m m'
_symmetry_Int_Tables_number 123
_symmetry_space_group_name_Hall '-P 4 2'
loop_
_atom_site_label
_atom_site_type_symbol
_atom_site_fract_x
_atom_site_fract_y
_atom_site_fract_z
K1 K 0.000 0.000 0.000
Sb1 Sb 0.000 0.500 0.500
W1 W 0.500 0.500 0.000
```



According to the calculations, the structures order from most to least stable as version 1, version 2, version 3.



Version 1
KSb3W after structural relaxation. Source: Alexandria via LeMat-Bulk, functional PBE.

## Properties
The value obtained for the volume is 31.1 Å³ per atom. For the density, the calculation gives 6.28 g/cm³.

CIF file:
```
data_KSb3W
_chemical_formula_sum 'K1 Sb3 W1'
_cell_length_a 5.378
_cell_length_b 5.378
_cell_length_c 5.378
_cell_angle_alpha 90.00
_cell_angle_beta 90.00
_cell_angle_gamma 90.00
_symmetry_space_group_name_H-M 'P m -3 m'
_symmetry_Int_Tables_number 221
_symmetry_space_group_name_Hall '-P 4 2 3'
loop_
_atom_site_label
_atom_site_type_symbol
_atom_site_fract_x
_atom_site_fract_y
_atom_site_fract_z
K1 K 0.000 0.000 0.000
Sb1 Sb 0.000 0.500 0.500
W1 W 0.500 0.500 0.500
```



Version 2
KSb3W after structural relaxation. Source: Alexandria via LeMat-Bulk, functional PBE.

## Properties
The value obtained for the volume is 33.1 Å³ per atom. For the density, the calculation gives 5.91 g/cm³.

CIF file:
```
data_KSb3W
_chemical_formula_sum 'K1 Sb3 W1'
_cell_length_a 5.488
_cell_length_b 5.488
_cell_length_c 5.488
_cell_angle_alpha 90.00
_cell_angle_beta 90.00
_cell_angle_gamma 90.00
_symmetry_space_group_name_H-M 'P m -3 m'
_symmetry_Int_Tables_number 221
_symmetry_space_group_name_Hall '-P 4 2 3'
loop_
_atom_site_label
_atom_site_type_symbol
_atom_site_fract_x
_atom_site_fract_y
_atom_site_fract_z
K1 K 0.000 0.000 0.000
Sb1 Sb 0.000 0.000 0.500
W1 W 0.500 0.500 0.500
```



According to the calculations, the structures order from most to least stable as version 1, version 2.